Run w
DFT (PBE-GGA) results for crystalline LaEuTe at its relaxed geometry.

a b c (Å): 4.2832 4.2832 7.3179
angles (deg): 90.00 90.00 120.00
Space group P3m1 (No. 156)
Unique sites:
La  0.0000  0.0000  0.0000 x1
Eu  0.3333  0.6667  0.4365 x1
Te  0.6667  0.3333  0.7219 x1



Run x
DFT (PBE-GGA) results for crystalline LaEuTe at its relaxed geometry.

a b c (Å): 3.9967 3.9967 13.5271
angles (deg): 90.00 90.00 90.00
Space group I4mm (No. 107)
Unique sites:
La  0.0000  0.0000  0.0000 x2
Eu  0.0000  0.0000  0.7204 x2
Te  0.0000  0.0000  0.3698 x2



Which of them is least stable? Easy: run x.



Run w
DFT (PBE-GGA) results for crystalline LaEuTe2 at its relaxed geometry.

a b c (Å): 5.5971 5.5971 3.9557
angles (deg): 90.00 90.00 90.00
Space group P4/mmm (No. 123)
Unique sites:
La  0.0000  0.0000  0.0000 x1
Eu  0.5000  0.5000  0.0000 x1
Te  0.0000  0.5000  0.5000 x2



Run x
DFT (PBE-GGA) results for crystalline LaEuTe2 at its relaxed geometry.

a b c (Å): 7.9094 7.9094 7.9094
angles (deg): 90.00 90.00 90.00
Space group Fm-3m (No. 225)
Unique sites:
La  0.0000  0.0000  0.0000 x4
Eu  0.0000  0.0000  0.5000 x4
Te  0.2500  0.2500  0.2500 x8



Which of them is least stable? Easy: run x.



Run w
DFT (PBE-GGA) results for crystalline La2EuTh at its relaxed geometry.

a b c (Å): 3.6343 3.6343 38.4497
angles (deg): 90.00 90.00 120.00
Space group R-3m (No. 166, hexagonal axes)
Unique sites:
La  0.0000  0.0000  0.0921 x6
Eu  0.0000  0.0000  0.0000 x3
Th  0.0000  0.0000  0.5000 x3



Run x
DFT (PBE-GGA) results for crystalline La2EuTh at its relaxed geometry.

a b c (Å): 8.3520 8.3520 8.3520
angles (deg): 90.00 90.00 90.00
Space group Fm-3m (No. 225)
Unique sites:
La  0.2500  0.2500  0.2500 x8
Eu  0.0000  0.0000  0.0000 x4
Th  0.0000  0.0000  0.5000 x4



Which of them is least stable? Easy: run x.



Run w
DFT (PBE-GGA) results for crystalline La2EuTh at its relaxed geometry.

a b c (Å): 3.6797 3.6797 10.8426
angles (deg): 90.00 90.00 90.00
Space group P4/mmm (No. 123)
Unique sites:
La  0.0000  0.0000  0.2242 x2
Eu  0.5000  0.5000  0.5000 x1
Th  0.5000  0.5000  0.0000 x1



Run x
DFT (PBE-GGA) results for crystalline La2EuTh at its relaxed geometry.

a b c (Å): 5.2446 5.2446 5.1462
angles (deg): 90.00 90.00 90.00
Space group P4/mmm (No. 123)
Unique sites:
La  0.0000  0.5000  0.0000 x2
Eu  0.0000  0.0000  0.5000 x1
Th  0.5000  0.5000  0.5000 x1



Which of them is least stable? Easy: run x.



Run w
DFT (PBE-GGA) results for crystalline LaEuTl at its relaxed geometry.

a b c (Å): 7.7488 7.7488 7.7488
angles (deg): 90.00 90.00 90.00
Space group F-43m (No. 216)
Unique sites:
La  0.0000  0.0000  0.0000 x4
Eu  0.0000  0.0000  0.5000 x4
Tl  0.2500  0.2500  0.7500 x4



Run x
DFT (PBE-GGA) results for crystalline LaEuTl at its relaxed geometry.

a b c (Å): 3.9521 3.9521 13.2072
angles (deg): 90.00 90.00 90.00
Space group I4mm (No. 107)
Unique sites:
La  0.0000  0.0000  0.0000 x2
Eu  0.0000  0.0000  0.2992 x2
Tl  0.0000  0.0000  0.6501 x2



Which of them is least stable? Easy: run w.



Run w
DFT (PBE-GGA) results for crystalline LaEuY at its relaxed geometry.

a b c (Å): 3.7189 3.7189 9.1467
angles (deg): 90.00 90.00 120.00
Space group P3m1 (No. 156)
Unique sites:
La  0.0000  0.0000  0.0000 x1
Eu  0.6667  0.3333  0.3505 x1
Y  0.3333  0.6667  0.6847 x1



Run x
DFT (PBE-GGA) results for crystalline LaEuY at its relaxed geometry.

a b c (Å): 3.7469 3.7469 15.7076
angles (deg): 90.00 90.00 90.00
Space group I4mm (No. 107)
Unique sites:
La  0.0000  0.0000  0.0000 x2
Eu  0.0000  0.0000  0.6763 x2
Y  0.0000  0.0000  0.3461 x2



Which of them is least stable? Easy: run x.